[1]
Material: HgP2SeO
Method: DFT, PBE
State: relaxed

extended XYZ file:
```
5
Lattice="4.965 0.000 0.000 0.000 4.965 0.000 0.000 0.000 3.730" Properties=species:S:1:pos:R:3 pbc="T T T"
P 0.000 2.483 0.000
O 0.000 0.000 1.865
Hg 2.483 2.483 1.865
P 2.483 0.000 0.000
Se 0.000 0.000 0.000
```

- final energy (eV for the cell shown) = -16.77
- space group = P4/mmm (123)
- excess energy over the best structure of this formula in the dataset (kJ/mol of formula units) = 0

---

[2]
Material: PmGa3CoPt
Method: DFT, PBE
State: relaxed

extended XYZ file:
```
12
Lattice="5.805 0.000 0.000 0.000 7.676 0.000 0.000 -3.838 5.387" Properties=species:S:1:pos:R:3 pbc="T T T"
Ga 4.354 3.838 2.964
Pm 4.354 0.000 2.736
Ga 0.000 1.841 0.000
Pt 4.354 3.838 0.571
Co 1.451 0.000 0.213
Pm 1.451 3.838 2.652
Ga 0.000 5.835 0.000
Ga 2.902 5.835 0.000
Pt 1.451 0.000 4.816
Co 4.354 3.838 5.175
Ga 2.902 1.841 0.000
Ga 1.451 0.000 2.423
```

- final energy (eV for the cell shown) = -58.83
- space group = Cmcm (63)
- DFT formation energy (eV per formula unit) = -2.44

---

[3]
Material: In2MoW
Method: DFT, PBE
State: relaxed

extended XYZ file:
```
4
Lattice="-2.161 8.773 3.670 -1.527 7.353 6.222 0.671 8.571 4.604" Properties=species:S:1:pos:R:3 pbc="T T T"
Mo -0.754 6.174 3.624
W -2.263 18.523 10.872
In -3.016 24.688 14.491
In -1.510 12.358 7.254
```

- final energy (eV for the cell shown) = -26.91
- space group = R-3m (166)
- DFT formation energy (eV per formula unit) = 2.35
- excess energy over the best structure of this formula in the dataset (kJ/mol of formula units) = 112

---

[4]
Material: TaGe3Au
Method: DFT, PBE
State: relaxed

extended XYZ file:
```
5
Lattice="-1.074 2.567 -4.033 -2.013 -3.992 -2.005 -4.336 1.217 1.929" Properties=species:S:1:pos:R:3 pbc="T T T"
Ge -0.537 1.283 -2.016
Au 0.000 0.000 0.000
Ta -3.711 -0.104 -2.054
Ge -1.006 -1.996 -1.002
Ge -2.168 0.609 0.965
```

- final energy (eV for the cell shown) = -22.59
- space group = Pm-3m (221)
- DFT formation energy (eV per formula unit) = 6.39
- excess energy over the best structure of this formula in the dataset (kJ/mol of formula units) = 316

---

[5]
Material: KN2ClF8
Method: DFT, PBE
State: relaxed

extended XYZ file:
```
12
Lattice="-3.526 2.796 3.531 -5.206 -4.234 2.786 -0.435 -3.064 6.624" Properties=species:S:1:pos:R:3 pbc="T T T"
Cl 0.000 0.000 0.000
F -1.945 -2.054 6.405
F -2.876 -2.315 3.593
K -4.583 -2.251 6.470
N -6.863 -3.389 9.727
N -2.303 -1.113 3.214
F -3.881 -0.518 8.344
F -5.285 -3.984 4.597
F -5.641 -0.700 4.186
F -7.222 -2.448 6.536
F -3.525 -3.802 8.755
F -6.290 -2.187 9.348
```

- final energy (eV for the cell shown) = -43.17
- space group = C2/m (12)

---

[6]
Material: Ca2CdBRu
Method: DFT, PBE
State: relaxed

extended XYZ file:
```
5
Lattice="-3.064 2.802 -3.129 -3.379 -2.307 1.243 -0.874 3.364 3.867" Properties=species:S:1:pos:R:3 pbc="T T T"
Ru -3.659 1.929 0.991
Ca -1.532 1.401 -1.565
Ca -0.437 1.682 1.934
B 0.000 0.000 0.000
Cd -1.690 -1.154 0.622
```

- final energy (eV for the cell shown) = -17.55
- space group = P4/mmm (123)
- DFT formation energy (eV per formula unit) = 3.32

---

[7]
Material: ZrTc2Sb
Method: DFT, PBE
State: relaxed

extended XYZ file:
```
4
Lattice="3.080 0.012 0.000 -1.156 2.855 0.000 0.000 0.000 8.360" Properties=species:S:1:pos:R:3 pbc="T T T"
Tc 0.000 0.000 8.328
Sb 0.962 1.433 6.270
Tc 0.000 0.000 4.212
Zr 0.962 1.433 2.090
```

- final energy (eV for the cell shown) = -32.51
- space group = Cmmm (65)

---

[8]
Material: BaIrCl
Method: DFT, PBE
State: relaxed

extended XYZ file:
```
6
Lattice="3.806 -2.198 0.000 0.000 4.395 0.000 0.000 0.000 8.782" Properties=species:S:1:pos:R:3 pbc="T T T"
Cl 2.538 0.000 6.587
Ir 2.538 0.000 2.196
Ba 0.000 0.000 0.000
Ba 0.000 0.000 4.391
Ir 1.269 2.198 6.587
Cl 1.269 2.198 2.196
```

- final energy (eV for the cell shown) = -26.79
- space group = P6_3/mmc (194)
- excess energy over the best structure of this formula in the dataset (kJ/mol of formula units) = 269

---

[9]
Material: Pu3Si7Ir2
Method: DFT, PBE
State: relaxed

extended XYZ file:
```
12
Lattice="-0.692 -3.452 2.059 2.862 -1.715 -1.912 8.243 5.220 11.523" Properties=species:S:1:pos:R:3 pbc="T T T"
Pu 4.891 -0.867 4.231
Si 4.355 1.964 4.757
Pu 1.085 -2.583 0.074
Si 0.000 0.000 0.000
Si 1.952 -0.690 3.539
Si 7.294 3.289 7.966
Pu 5.522 0.920 7.439
Si 6.750 1.542 4.854
Ir 9.644 2.847 8.014
Ir 1.461 0.659 1.596
Si 8.461 0.743 8.131
Si 3.812 0.216 1.644
```

- final energy (eV for the cell shown) = -102.18
- space group = Cmmm (65)

---

[10]
Material: PmErCo
Method: DFT, PBE
State: relaxed

extended XYZ file:
```
3
Lattice="-2.775 -1.578 1.149 1.935 -1.960 1.981 -0.064 6.049 3.144" Properties=species:S:1:pos:R:3 pbc="T T T"
Er -0.040 0.352 0.387
Pm -0.288 2.545 2.800
Co -0.576 -0.386 3.087
```

- final energy (eV for the cell shown) = -16.63
- space group = I4mm (107)
- DFT formation energy (eV per formula unit) = -0.21
- excess energy over the best structure of this formula in the dataset (kJ/mol of formula units) = 19

---

[11]
Material: TaFeS2
Method: DFT, PBE
State: relaxed

extended XYZ file:
```
8
Lattice="-0.196 0.533 5.283 0.152 -5.284 0.539 4.940 -2.216 3.079" Properties=species:S:1:pos:R:3 pbc="T T T"
Ta 0.000 0.000 0.000
Fe 2.535 -4.937 3.264
Ta 2.361 -2.029 5.636
Fe -0.022 -2.375 2.911
S 1.139 -0.901 3.942
S 3.661 -5.621 7.383
S 3.694 -3.640 4.512
S 1.298 -3.770 1.964
```

- final energy (eV for the cell shown) = -59.30
- space group = I-42d (122)
- excess energy over the best structure of this formula in the dataset (kJ/mol of formula units) = 51

---

[12]
Material: SmBiRh2
Method: DFT, PBE
State: relaxed

extended XYZ file:
```
4
Lattice="3.692 0.000 0.000 0.000 4.693 0.000 0.000 0.000 4.693" Properties=species:S:1:pos:R:3 pbc="T T T"
Sm 1.846 2.347 2.347
Rh 0.000 0.000 2.347
Rh 0.000 2.347 0.000
Bi 1.846 0.000 0.000
```

- final energy (eV for the cell shown) = -25.28
- space group = P4/mmm (123)
- DFT formation energy (eV per formula unit) = -1.97

---

[13]
Material: Ag2AsPt
Method: DFT, PBE
State: relaxed

extended XYZ file:
```
4
Lattice="-1.879 -0.618 -2.079 2.141 -0.970 -1.646 -1.041 -7.856 3.275" Properties=species:S:1:pos:R:3 pbc="T T T"
Ag -1.031 -7.777 3.243
Pt -0.650 -6.686 0.594
As -0.129 -2.758 -1.044
Ag -0.531 -4.006 1.671
```

- final energy (eV for the cell shown) = -15.87
- space group = P4/mmm (123)
- DFT formation energy (eV per formula unit) = 0.52